(1)
VASP calculation (PBE) on crystalline Ac2ZnSn2Hg4 at its relaxed geometry.

```
data_Ac2ZnSn2Hg4
_chemical_formula_sum 'Ac4 Zn2 Sn4 Hg8'
_cell_length_a 6.969
_cell_length_b 6.969
_cell_length_c 10.252
_cell_angle_alpha 90.00
_cell_angle_beta 90.00
_cell_angle_gamma 90.00
_symmetry_space_group_name_H-M 'I 4/m m m'
_symmetry_Int_Tables_number 139
_symmetry_space_group_name_Hall '-I 4 2'
loop_
_atom_site_label
_atom_site_type_symbol
_atom_site_fract_x
_atom_site_fract_y
_atom_site_fract_z
Ac1 Ac 0.000 0.500 0.250
Zn1 Zn 0.000 0.000 0.000
Sn1 Sn 0.000 0.000 0.279
Hg1 Hg 0.226 0.226 0.500
```

=====

(2)
VASP calculation (PBE) on crystalline Pm2Ho4Mg at its relaxed geometry.

Calculated values
- distance to the lowest polymorph of the same formula (meV per atom) = 187

```
data_Pm2Ho4Mg
_chemical_formula_sum 'Pm4 Ho8 Mg2'
_cell_length_a 8.230
_cell_length_b 8.230
_cell_length_c 6.633
_cell_angle_alpha 90.00
_cell_angle_beta 90.00
_cell_angle_gamma 90.00
_symmetry_space_group_name_H-M 'I -4 2 m'
_symmetry_Int_Tables_number 121
_symmetry_space_group_name_Hall 'I -4 2'
loop_
_atom_site_label
_atom_site_type_symbol
_atom_site_fract_x
_atom_site_fract_y
_atom_site_fract_z
Pm1 Pm 0.000 0.500 0.250
Ho1 Ho 0.202 0.202 0.427
Mg1 Mg 0.000 0.000 0.000
```

=====

(3)
VASP calculation (PBE) on crystalline Y4AlTe at its relaxed geometry.

Calculated values
- ΔE_f (raw) (eV per formula unit) = 1.0
- distance to the lowest polymorph of the same formula (meV per atom) = 732

```
data_Y4AlTe
_chemical_formula_sum 'Y16 Al4 Te4'
_cell_length_a 8.888
_cell_length_b 8.888
_cell_length_c 8.888
_cell_angle_alpha 90.00
_cell_angle_beta 90.00
_cell_angle_gamma 90.00
_symmetry_space_group_name_H-M 'F -4 3 m'
_symmetry_Int_Tables_number 216
_symmetry_space_group_name_Hall 'F -4 2 3'
loop_
_atom_site_label
_atom_site_type_symbol
_atom_site_fract_x
_atom_site_fract_y
_atom_site_fract_z
Y1 Y 0.124 0.124 0.124
Al1 Al 0.250 0.250 0.750
Te1 Te 0.000 0.000 0.500
```

=====

(4)
VASP calculation (PBE) on crystalline SrZrZn4 at its relaxed geometry.

```
data_SrZrZn4
_chemical_formula_sum 'Sr4 Zr4 Zn16'
_cell_length_a 7.739
_cell_length_b 7.739
_cell_length_c 7.739
_cell_angle_alpha 90.00
_cell_angle_beta 90.00
_cell_angle_gamma 90.00
_symmetry_space_group_name_H-M 'F -4 3 m'
_symmetry_Int_Tables_number 216
_symmetry_space_group_name_Hall 'F -4 2 3'
loop_
_atom_site_label
_atom_site_type_symbol
_atom_site_fract_x
_atom_site_fract_y
_atom_site_fract_z
Sr1 Sr 0.000 0.000 0.000
Zr1 Zr 0.250 0.250 0.250
Zn1 Zn 0.122 0.122 0.622
```

=====

(5)
VASP calculation (PBE) on crystalline TbNi12B6 at its relaxed geometry.

```
data_TbNi12B6
_chemical_formula_sum 'Tb3 Ni36 B18'
_cell_length_a 9.5096
_cell_length_b 9.5096
_cell_length_c 7.3689
_cell_angle_alpha 90.00
_cell_angle_beta 90.00
_cell_angle_gamma 120.00
_symmetry_space_group_name_H-M 'R -3 m'
_symmetry_Int_Tables_number 166
_symmetry_space_group_name_Hall '-R 3 2"'
loop_
_atom_site_label
_atom_site_type_symbol
_atom_site_fract_x
_atom_site_fract_y
_atom_site_fract_z
Tb1 Tb 0.0000 0.0000 0.0000
Ni1 Ni 0.0000 0.3695 0.5000
Ni2 Ni 0.0889 0.1777 0.3643
B1 B 0.0434 0.5217 0.2861
```

=====

(6)
VASP calculation (PBE) on crystalline Er3SnRh at its relaxed geometry.

```
data_Er3SnRh
_chemical_formula_sum 'Er6 Sn2 Rh2'
_cell_length_a 5.594
_cell_length_b 6.593
_cell_length_c 7.172
_cell_angle_alpha 90.00
_cell_angle_beta 103.37
_cell_angle_gamma 90.00
_symmetry_space_group_name_H-M 'P 1 21/m 1'
_symmetry_Int_Tables_number 11
_symmetry_space_group_name_Hall '-P 2yb'
loop_
_atom_site_label
_atom_site_type_symbol
_atom_site_fract_x
_atom_site_fract_y
_atom_site_fract_z
Er1 Er 0.141 0.250 0.111
Er2 Er 0.316 0.009 0.694
Sn1 Sn 0.184 0.750 0.316
Rh1 Rh 0.389 0.750 0.993
```

=====

(7)
VASP calculation (PBE) on crystalline PrSmY3Ho at its relaxed geometry.

```
data_PrSmY3Ho
_chemical_formula_sum 'Pr4 Sm4 Y12 Ho4'
_cell_length_a 5.088
_cell_length_b 15.268
_cell_length_c 10.177
_cell_angle_alpha 90.00
_cell_angle_beta 90.00
_cell_angle_gamma 90.00
_symmetry_space_group_name_H-M 'C m c m'
_symmetry_Int_Tables_number 63
_symmetry_space_group_name_Hall '-C 2c 2'
loop_
_atom_site_label
_atom_site_type_symbol
_atom_site_fract_x
_atom_site_fract_y
_atom_site_fract_z
Pr1 Pr 0.000 0.000 0.000
Sm1 Sm 0.000 0.499 0.250
Y1 Y 0.000 0.168 0.250
Y2 Y 0.000 0.332 0.000
Ho1 Ho 0.000 0.167 0.750
```

=====

(8)
VASP calculation (PBE) on crystalline Li2SmErCl8 at its relaxed geometry.

Calculated values
- ΔE_f (raw) (eV per formula unit) = -25.1

```
data_Li2SmErCl8
_chemical_formula_sum 'Li2 Sm1 Er1 Cl8'
_cell_length_a 6.360
_cell_length_b 7.981
_cell_length_c 6.383
_cell_angle_alpha 90.00
_cell_angle_beta 95.22
_cell_angle_gamma 90.00
_symmetry_space_group_name_H-M 'P 1 2/m 1'
_symmetry_Int_Tables_number 10
_symmetry_space_group_name_Hall '-P 2y'
loop_
_atom_site_label
_atom_site_type_symbol
_atom_site_fract_x
_atom_site_fract_y
_atom_site_fract_z
Li1 Li 0.000 0.246 0.000
Sm1 Sm 0.500 0.500 0.500
Er1 Er 0.500 0.000 0.500
Cl1 Cl 0.192 0.500 0.186
Cl2 Cl 0.199 0.000 0.195
Cl3 Cl 0.305 0.242 0.689
```

=====

(9)
VASP calculation (PBE) on crystalline Pr8Tl2Ag at its relaxed geometry.

Calculated values
- distance to the lowest polymorph of the same formula (meV per atom) = 0

```
data_Pr8Tl2Ag
_chemical_formula_sum 'Pr16 Tl4 Ag2'
_cell_length_a 18.721
_cell_length_b 5.494
_cell_length_c 7.010
_cell_angle_alpha 90.00
_cell_angle_beta 93.61
_cell_angle_gamma 90.00
_symmetry_space_group_name_H-M 'C 1 2/m 1'
_symmetry_Int_Tables_number 12
_symmetry_space_group_name_Hall '-C 2y'
loop_
_atom_site_label
_atom_site_type_symbol
_atom_site_fract_x
_atom_site_fract_y
_atom_site_fract_z
Pr1 Pr 0.030 0.000 0.264
Pr2 Pr 0.091 0.500 0.912
Pr3 Pr 0.168 0.500 0.409
Pr4 Pr 0.210 0.000 0.102
Tl1 Tl 0.155 0.000 0.654
Ag1 Ag 0.000 0.500 0.500
```

=====

(10)
VASP calculation (PBE) on crystalline TaCo2Br at its relaxed geometry.

Calculated values
- ΔE_f (raw) (eV per formula unit) = 2.9
- distance to the lowest polymorph of the same formula (meV per atom) = 571

```
data_TaCo2Br
_chemical_formula_sum 'Ta4 Co8 Br4'
_cell_length_a 6.142
_cell_length_b 6.142
_cell_length_c 6.142
_cell_angle_alpha 90.00
_cell_angle_beta 90.00
_cell_angle_gamma 90.00
_symmetry_space_group_name_H-M 'F -4 3 m'
_symmetry_Int_Tables_number 216
_symmetry_space_group_name_Hall 'F -4 2 3'
loop_
_atom_site_label
_atom_site_type_symbol
_atom_site_fract_x
_atom_site_fract_y
_atom_site_fract_z
Ta1 Ta 0.000 0.000 0.000
Co1 Co 0.000 0.000 0.500
Co2 Co 0.250 0.250 0.250
Br1 Br 0.250 0.250 0.750
```

=====

(11)
VASP calculation (PBE) on crystalline Sn13Rh2 at its relaxed geometry.

```
data_Sn13Rh2
_chemical_formula_sum 'Sn13 Rh2'
_cell_length_a 6.821
_cell_length_b 7.547
_cell_length_c 8.872
_cell_angle_alpha 109.03
_cell_angle_beta 99.54
_cell_angle_gamma 105.65
_symmetry_space_group_name_H-M 'P -1'
_symmetry_Int_Tables_number 2
_symmetry_space_group_name_Hall '-P 1'
loop_
_atom_site_label
_atom_site_type_symbol
_atom_site_fract_x
_atom_site_fract_y
_atom_site_fract_z
Sn1 Sn 0.000 0.000 0.000
Sn2 Sn 0.040 0.486 0.333
Sn3 Sn 0.128 0.956 0.650
Sn4 Sn 0.243 0.409 0.922
Sn5 Sn 0.309 0.905 0.334
Sn6 Sn 0.436 0.813 0.855
Sn7 Sn 0.448 0.389 0.626
Rh1 Rh 0.255 0.230 0.295
```

=====

(12)
VASP calculation (PBE) on crystalline Ca2Zn4InPt3 at its relaxed geometry.

```
data_Ca2Zn4InPt3
_chemical_formula_sum 'Ca2 Zn4 In1 Pt3'
_cell_length_a 4.090
_cell_length_b 4.090
_cell_length_c 11.793
_cell_angle_alpha 90.00
_cell_angle_beta 90.00
_cell_angle_gamma 90.00
_symmetry_space_group_name_H-M 'P -4 m 2'
_symmetry_Int_Tables_number 115
_symmetry_space_group_name_Hall 'P -4 -2'
loop_
_atom_site_label
_atom_site_type_symbol
_atom_site_fract_x
_atom_site_fract_y
_atom_site_fract_z
Ca1 Ca 0.000 0.500 0.232
Zn1 Zn 0.000 0.000 0.000
Zn2 Zn 0.000 0.500 0.652
Zn3 Zn 0.500 0.500 0.000
In1 In 0.000 0.000 0.500
Pt1 Pt 0.000 0.500 0.864
Pt2 Pt 0.500 0.500 0.500
```

=====

Number 1: density 10.40 g cm⁻³, DOS at the Fermi energy 5.39 states/eV/f.u., final energy -43.920 eV per cell. Number 2: density 7.20 g cm⁻³, DOS at the Fermi energy 10.14 states/eV/f.u., final energy -54.401 eV per cell. Number 3: density 4.83 g cm⁻³, DOS at the Fermi energy 6.11 states/eV/f.u., final energy -126.986 eV per cell. Number 4: density 6.31 g cm⁻³, DOS at the Fermi energy 3.03 states/eV/f.u., final energy -63.147 eV per cell. Number 5: density 8.01 g cm⁻³, DOS at the Fermi energy 7.55 states/eV/f.u., final energy -364.696 eV per cell. Number 6: density 9.33 g cm⁻³, DOS at the Fermi energy 3.19 states/eV/f.u., final energy -56.711 eV per cell. Number 7: density 6.07 g cm⁻³, DOS at the Fermi energy 8.90 states/eV/f.u., final energy -133.354 eV per cell. Number 8: density 3.17 g cm⁻³, DOS at the Fermi energy 0.00 states/eV/f.u., final energy -52.947 eV per cell. Number 9: density 7.59 g cm⁻³, DOS at the Fermi energy 13.68 states/eV/f.u., final energy -95.493 eV per cell. Number 10: density 10.86 g cm⁻³, DOS at the Fermi energy 5.89 states/eV/f.u., final energy -99.497 eV per cell. Number 11: density 7.27 g cm⁻³, DOS at the Fermi energy 5.54 states/eV/f.u., final energy -67.861 eV per cell. Number 12: density 8.77 g cm⁻³, DOS at the Fermi energy 4.47 states/eV/f.u., final energy -35.988 eV per cell.